No. 1
## Pu3SiS6 (GGA-PBE)

Data for Pu3SiS6 after structural relaxation.

ΔE_f (raw), meV/atom: -1381
Uncorrected energy, eV per atom: -8.6997
Crystal system: orthorhombic
Size of the total moment, μB per cell: 32.0

Cell lengths 6.4949, 8.6143, 8.6143 Å; angles 102.95, 90.00, 90.00 degrees
With the nearest neighbours (Å) after each atom.
Fractional coordinates of all 20 atoms:
S 0.6510 0.9552 0.0448  1 Si 2.18
S 0.6912 0.3154 0.3643  4 Pu 2.67-2.76
S 0.6810 0.8992 0.4191  1 Si 2.15
S 0.1510 0.0448 0.9552  1 Si 2.18
S 0.1810 0.1008 0.5809  1 Si 2.15
S 0.1912 0.3643 0.3154  4 Pu 2.67-2.76
S 0.6912 0.6357 0.6846  4 Pu 2.67-2.76
S 0.1810 0.4191 0.8992  1 Si 2.15
S 0.2023 0.7896 0.2104  1 Si 2.15
S 0.1912 0.6846 0.6357  4 Pu 2.67-2.76
S 0.7023 0.2104 0.7896  1 Si 2.15
S 0.6810 0.5809 0.1008  1 Si 2.15
Si 0.5313 0.8044 0.1956  4 S 2.15-2.18
Si 0.0313 0.1956 0.8044  4 S 2.15-2.18
Pu 0.9767 0.7172 0.9116  7 S 2.67-2.99
Pu 0.9029 0.5992 0.4008  6 S 2.73-2.93
Pu 0.4767 0.9116 0.7172  7 S 2.67-2.99
Pu 0.4767 0.2828 0.0884  7 S 2.67-2.99
Pu 0.4029 0.4008 0.5992  6 S 2.73-2.93
Pu 0.9767 0.0884 0.2828  7 S 2.67-2.99

---

No. 2
## Pu6SiS5 (GGA-PBE)

Data for Pu6SiS5 after structural relaxation.

ΔE_f (raw), meV/atom: -1496
Uncorrected energy, eV per atom: -10.8332
Crystal system: monoclinic
Size of the total moment, μB per cell: 32.8

Cell lengths 6.9170, 6.9148, 6.9151 Å; angles 60.00, 80.41, 70.54 degrees
With the nearest neighbours (Å) after each atom.
Fractional coordinates of all 12 atoms:
Pu 0.2521 0.9160 0.6615  5 S 2.80-2.83, 1 Si 2.86
Pu 0.2522 0.2543 0.0000  5 S 2.79-2.82, 1 Si 2.86
Pu 0.7479 0.4224 0.6615  5 S 2.80-2.83, 1 Si 2.86
Pu 0.7479 0.0840 0.3385  5 S 2.80-2.83, 1 Si 2.86
Pu 0.7478 0.7457 0.0000  5 S 2.79-2.82, 1 Si 2.86
Pu 0.2521 0.5776 0.3385  5 S 2.80-2.83, 1 Si 2.86
S 0.0000 0.3334 0.3333  6 Pu 2.82
S 0.5000 0.5000 0.0000  6 Pu 2.79-2.83
S 0.5000 0.8352 0.3297  6 Pu 2.80-2.83
S 0.5000 0.1648 0.6703  6 Pu 2.80-2.83
S 0.0000 0.6666 0.6667  6 Pu 2.82
Si 0.0000 0.0000 0.0000  6 Pu 2.86

---

> Which of these has the lowest size of the total moment?

Pu3SiS6

---

> The lowest uncorrected energy belongs to which entry?

Pu6SiS5

---

What did the second record say?
## Pu6SiS5 (GGA-PBE)

Data for Pu6SiS5 after structural relaxation.

ΔE_f (raw), meV/atom: -1496
Uncorrected energy, eV per atom: -10.8332
Crystal system: monoclinic
Size of the total moment, μB per cell: 32.8

Cell lengths 6.9170, 6.9148, 6.9151 Å; angles 60.00, 80.41, 70.54 degrees
With the nearest neighbours (Å) after each atom.
Fractional coordinates of all 12 atoms:
Pu 0.2521 0.9160 0.6615  5 S 2.80-2.83, 1 Si 2.86
Pu 0.2522 0.2543 0.0000  5 S 2.79-2.82, 1 Si 2.86
Pu 0.7479 0.4224 0.6615  5 S 2.80-2.83, 1 Si 2.86
Pu 0.7479 0.0840 0.3385  5 S 2.80-2.83, 1 Si 2.86
Pu 0.7478 0.7457 0.0000  5 S 2.79-2.82, 1 Si 2.86
Pu 0.2521 0.5776 0.3385  5 S 2.80-2.83, 1 Si 2.86
S 0.0000 0.3334 0.3333  6 Pu 2.82
S 0.5000 0.5000 0.0000  6 Pu 2.79-2.83
S 0.5000 0.8352 0.3297  6 Pu 2.80-2.83
S 0.5000 0.1648 0.6703  6 Pu 2.80-2.83
S 0.0000 0.6666 0.6667  6 Pu 2.82
Si 0.0000 0.0000 0.0000  6 Pu 2.86